First-principles (GGA-PBE) data for Na4Ce3HoS8 after structural relaxation, as listed in Alexandria.

Values from the calculation:
**E**: -5.55 eV/atom

Lattice parameters (Å, degrees): 8.1933 8.1732 8.1937 120.09 120.00 90.00
Last column: magnetic moment on the atom in μB.
Sites, in units of the cell vectors:
Na1 0.5000 0.0000 0.0000  0.00
Na2 0.5000 0.0000 0.5000  0.00
Na3 0.0000 0.0000 0.0000  0.00
Na4 0.0000 0.0000 0.5000  0.00
Ce1 0.5000 0.5000 0.0000  0.92
Ce2 0.5000 0.5000 0.5000  0.92
Ce3 0.0000 0.5000 0.5000  0.92
Ho1 0.0000 0.5000 0.0000  0.03
S1 0.2392 0.7298 0.9906  -0.01
S2 0.2392 0.7298 0.4784  -0.01
S3 0.2553 0.2661 0.5107  -0.02
S4 0.7515 0.7298 0.9906  -0.01
S5 0.2485 0.2702 0.0094  -0.01
S6 0.7447 0.7339 0.4893  -0.02
S7 0.7608 0.2702 0.5216  -0.01
S8 0.7608 0.2702 0.0094  -0.01